No. 1
This record from Alexandria via LeMat-Bulk describes crystalline K2AlCl6 at its relaxed geometry. The functional is GGA-PBE.

a = 6.697 Å, b = 6.697 Å, c = 13.108 Å
α = 90.00°, β = 90.00°, γ = 90.00°
Site moments in Bohr magnetons follow the coordinates.
Fractional coordinates of all 18 atoms:
K: 0.000 0.000 0.332  0.00
K: 0.500 0.500 0.832  0.00
K: 0.500 0.500 0.168  0.00
K: 0.000 0.000 0.668  0.00
Al: 0.000 0.000 0.000  0.00
Al: 0.500 0.500 0.500  0.00
Cl: 0.327 0.327 0.373  0.13
Cl: 0.673 0.673 0.373  0.13
Cl: 0.173 0.827 0.873  0.13
Cl: 0.827 0.173 0.873  0.13
Cl: 0.173 0.827 0.127  0.13
Cl: 0.827 0.173 0.127  0.13
Cl: 0.327 0.327 0.627  0.13
Cl: 0.673 0.673 0.627  0.13
Cl: 0.245 0.245 0.000  0.19
Cl: 0.755 0.755 0.000  0.19
Cl: 0.255 0.745 0.500  0.19
Cl: 0.745 0.255 0.500  0.19

Formation energy from raw total energies = -1458 meV per atom
Space group = No. 136
Raw total energy = -3.348 eV/atom

***

No. 2
This record from Alexandria via LeMat-Bulk describes crystalline Ca4PrSe5 at its relaxed geometry. The functional is GGA-PBE.

a = 5.973 Å, b = 7.313 Å, c = 7.313 Å
α = 80.40°, β = 65.90°, γ = 65.90°
Fractional coordinates of all 10 atoms:
Ca: 0.400 0.402 0.800
Ca: 0.802 0.800 0.598
Ca: 0.200 0.200 0.402
Ca: 0.602 0.598 0.200
Pr: 0.001 0.000 0.000
Se: 0.899 0.404 0.799
Se: 0.304 0.799 0.596
Se: 0.698 0.201 0.404
Se: 0.103 0.596 0.201
Se: 0.501 0.000 0.000

Formation energy from raw total energies = -1964 meV per atom
Space group = No. 87
Raw total energy = -4.985 eV/atom

***

Question: What is the formation energy from raw total energies in the first record?
Answer: -1458 meV per atom